Entry from the Alexandria database: an optimized crystal structure of TlCu2TeBr8 (PBE).

Cell lengths 6.670, 6.670, 9.821 Å; angles 90.74, 90.74, 72.79 degrees
Site moments in Bohr magnetons follow the coordinates.
Fractional coordinates of all 12 atoms:
Tl (0.000, 0.000, 0.500)  0.01
Cu (0.656, 0.656, 0.222)  0.14
Cu (0.344, 0.344, 0.778)  0.14
Te (0.000, 0.000, 0.000)  0.00
Br (0.744, 0.232, 0.797)  0.02
Br (0.743, 0.743, 0.001)  0.01
Br (0.700, 0.700, 0.453)  0.06
Br (0.300, 0.300, 0.547)  0.06
Br (0.257, 0.257, 0.999)  0.01
Br (0.232, 0.744, 0.797)  0.02
Br (0.768, 0.256, 0.203)  0.02
Br (0.256, 0.768, 0.203)  0.02

Values from the calculation:
As for the uncorrected formation energy: -4.49 eV per formula unit. The value obtained for the total energy is -2.63 eV per atom.

Entry from the Alexandria database: an optimized crystal structure of TlCu2TeBr (PBE).

Cell lengths 4.404, 8.256, 8.248 Å; angles 88.62, 90.00, 90.00 degrees
Fractional coordinates of all 10 atoms:
Tl (0.750, 0.257, 0.073)
Tl (0.250, 0.743, 0.927)
Cu (0.250, 0.713, 0.287)
Cu (0.250, 0.958, 0.451)
Cu (0.750, 0.042, 0.549)
Cu (0.750, 0.287, 0.713)
Te (0.750, 0.890, 0.277)
Te (0.250, 0.110, 0.723)
Br (0.750, 0.573, 0.720)
Br (0.250, 0.427, 0.280)

Values from the calculation:
As for the uncorrected formation energy: -1.14 eV per formula unit. The value obtained for the total energy is -3.30 eV per atom.

Entry from the Alexandria database: an optimized crystal structure of ZnCu2TeBr (PBE).

Cell lengths 4.937, 5.958, 4.937 Å; angles 90.00, 90.00, 90.00 degrees
Fractional coordinates of all 5 atoms:
Zn (0.500, 0.500, 0.500)
Te (0.000, 0.000, 0.000)
Cu (0.000, 0.000, 0.500)
Cu (0.500, 0.000, 0.000)
Br (0.000, 0.500, 0.000)

Values from the calculation:
As for the uncorrected formation energy: 2.21 eV per formula unit. The value obtained for the total energy is -2.41 eV per atom.

Entry from the Alexandria database: an optimized crystal structure of ThCu3Br9 (PBE).

Cell lengths 9.333, 10.721, 11.691 Å; angles 74.32, 66.47, 64.20 degrees
Site moments in Bohr magnetons follow the coordinates.
Fractional coordinates of all 26 atoms:
Th (0.025, 0.495, 0.002)  0.02
Th (0.478, 0.995, 0.502)  0.02
Cu (0.818, 0.542, 0.659)  0.34
Cu (0.981, 0.042, 0.159)  0.34
Cu (0.974, 0.947, 0.847)  0.35
Cu (0.232, 0.447, 0.347)  0.35
Cu (0.612, 0.242, 0.719)  0.35
Cu (0.428, 0.742, 0.219)  0.35
Br (0.335, 0.202, 0.319)  0.04
Br (0.144, 0.702, 0.819)  0.04
Br (0.368, 0.315, 0.921)  0.04
Br (0.396, 0.815, 0.421)  0.04
Br (0.161, 0.074, 0.695)  0.03
Br (0.070, 0.574, 0.195)  0.03
Br (0.713, 0.727, 0.066)  0.06
Br (0.495, 0.227, 0.566)  0.06
Br (0.825, 0.926, 0.353)  0.04
Br (0.896, 0.426, 0.853)  0.04
Br (0.597, 0.781, 0.689)  0.06
Br (0.933, 0.281, 0.189)  0.06
Br (0.477, 0.503, 0.278)  0.17
Br (0.742, 0.003, 0.778)  0.17
Br (0.684, 0.435, 0.604)  0.12
Br (0.278, 0.935, 0.104)  0.12
Br (0.830, 0.070, 0.026)  0.15
Br (0.074, 0.570, 0.526)  0.15

Values from the calculation:
As for the uncorrected formation energy: -10.22 eV per formula unit. The value obtained for the total energy is -3.46 eV per atom.

Entry from the Alexandria database: an optimized crystal structure of ThCu2Br8 (PBE).

Cell lengths 6.631, 8.068, 8.068 Å; angles 91.26, 101.13, 101.13 degrees
Fractional coordinates of all 11 atoms:
Th (0.000, 0.000, 0.000)
Cu (0.686, 0.198, 0.198)
Cu (0.314, 0.802, 0.802)
Br (0.206, 0.067, 0.723)
Br (0.206, 0.723, 0.067)
Br (0.794, 0.933, 0.277)
Br (0.177, 0.579, 0.579)
Br (0.794, 0.277, 0.933)
Br (0.340, 0.227, 0.227)
Br (0.660, 0.773, 0.773)
Br (0.823, 0.421, 0.421)

Values from the calculation:
Its offset from the most stable computed form is 0.000 eV per atom. As for the uncorrected formation energy: -9.88 eV per formula unit. The value obtained for the total energy is -3.53 eV per atom.

Entry from the Alexandria database: an optimized crystal structure of ThCu2Br8 (PBE).

Cell lengths 7.465, 8.158, 9.512 Å; angles 95.80, 90.00, 117.23 degrees
Site moments in Bohr magnetons follow the coordinates.
Fractional coordinates of all 11 atoms:
Br (0.888, 0.276, 0.114)  0.04
Br (0.388, 0.276, 0.114)  0.04
Br (0.112, 0.724, 0.886)  0.04
Br (0.230, 0.461, 0.492)  0.26
Br (0.612, 0.724, 0.886)  0.04
Br (0.960, 0.920, 0.289)  0.07
Br (0.040, 0.080, 0.711)  0.07
Br (0.770, 0.539, 0.508)  0.26
Cu (0.867, 0.734, 0.711)  0.32
Cu (0.133, 0.266, 0.289)  0.32
Th (0.000, 0.000, 0.000)  0.00

Values from the calculation:
Its offset from the most stable computed form is 0.057 eV per atom. As for the uncorrected formation energy: -9.24 eV per formula unit. The value obtained for the total energy is -3.48 eV per atom.

Entry from the Alexandria database: an optimized crystal structure of ThTlCuBr6 (PBE).

Cell lengths 7.102, 7.102, 15.243 Å; angles 90.00, 90.00, 120.00 degrees
Site moments in Bohr magnetons follow the coordinates.
Fractional coordinates of all 18 atoms:
Th (0.667, 0.333, 0.250)  0.00
Th (0.333, 0.667, 0.750)  0.00
Tl (0.000, 0.000, 0.000)  0.00
Tl (0.000, 0.000, 0.500)  0.00
Cu (0.333, 0.667, 0.250)  0.10
Cu (0.667, 0.333, 0.750)  0.10
Br (0.632, 0.646, 0.143)  0.00
Br (0.014, 0.368, 0.143)  0.00
Br (0.368, 0.014, 0.643)  0.00
Br (0.986, 0.632, 0.857)  0.00
Br (0.354, 0.368, 0.357)  0.00
Br (0.014, 0.646, 0.357)  0.00
Br (0.646, 0.014, 0.857)  0.00
Br (0.632, 0.986, 0.357)  0.00
Br (0.986, 0.354, 0.643)  0.00
Br (0.354, 0.986, 0.143)  0.00
Br (0.646, 0.632, 0.643)  0.00
Br (0.368, 0.354, 0.857)  0.00

Values from the calculation:
As for the uncorrected formation energy: -10.60 eV per formula unit. The value obtained for the total energy is -3.84 eV per atom.

Entry from the Alexandria database: an optimized crystal structure of TiCuBr4 (PBE).

Cell lengths 5.972, 5.973, 12.302 Å; angles 90.00, 90.00, 90.00 degrees
Site moments in Bohr magnetons follow the coordinates.
Fractional coordinates of all 12 atoms:
Ti (0.000, 0.500, 0.000)  0.91
Ti (0.000, 0.000, 0.500)  0.92
Cu (0.000, 0.000, 0.000)  -0.02
Cu (0.500, 0.000, 0.500)  -0.02
Br (0.227, 0.251, 0.114)  -0.01
Br (0.227, 0.749, 0.886)  -0.01
Br (0.773, 0.251, 0.886)  -0.01
Br (0.773, 0.749, 0.114)  -0.01
Br (0.750, 0.773, 0.614)  -0.01
Br (0.750, 0.227, 0.386)  -0.01
Br (0.250, 0.773, 0.386)  -0.01
Br (0.250, 0.227, 0.614)  -0.01

Values from the calculation:
As for the uncorrected formation energy: -5.03 eV per formula unit. The value obtained for the total energy is -3.95 eV per atom.

Entry from the Alexandria database: an optimized crystal structure of TiCuBr2 (PBE).

Cell lengths 6.072, 6.072, 7.034 Å; angles 64.43, 64.43, 90.00 degrees
Site moments in Bohr magnetons follow the coordinates.
Fractional coordinates of all 8 atoms:
Cu (0.000, 0.000, 0.000)  0.04
Cu (0.750, 0.250, 0.500)  0.04
Br (0.648, 0.125, 0.250)  0.00
Br (0.102, 0.625, 0.250)  0.00
Br (0.375, 0.352, 0.750)  0.00
Br (0.875, 0.898, 0.750)  0.00
Ti (0.500, 0.500, 0.000)  2.02
Ti (0.250, 0.750, 0.500)  2.03

Values from the calculation:
Its offset from the most stable computed form is 0.000 eV per atom. As for the uncorrected formation energy: -0.08 eV per formula unit. The value obtained for the total energy is -3.85 eV per atom.

Entry from the Alexandria database: an optimized crystal structure of Ti2Cu2Br (PBE).

Cell lengths 3.628, 3.628, 7.521 Å; angles 76.04, 76.04, 90.00 degrees
Fractional coordinates of all 5 atoms:
Cu (0.393, 0.393, 0.214)
Cu (0.607, 0.607, 0.786)
Br (0.000, 0.000, 0.000)
Ti (0.750, 0.250, 0.500)
Ti (0.250, 0.750, 0.500)

Values from the calculation:
Its offset from the most stable computed form is 0.164 eV per atom. As for the uncorrected formation energy: 2.02 eV per formula unit. The value obtained for the total energy is -4.73 eV per atom.

Q: Number 9 is which compound?
A: TiCuBr2